1.
Below is an optimized crystal structure of CaNi4Ag, with properties calculated at the GGA-PBEsol level.

M_tot   0.0 μB per formula unit
E_form   -59 meV/atom

a = 6.8662 Å, b = 6.8662 Å, c = 6.8662 Å
α = 90.00°, β = 90.00°, γ = 90.00°
With the nearest neighbours (Å) after each atom.
Space group F-43m (No. 216)
Inequivalent atoms, fractional coordinates:
Ca (0.0000, 0.0000, 0.0000) [4 per cell]  12 Ni 2.85, 4 Ag 2.97
Ni (0.1246, 0.1246, 0.6246) [16 per cell]  6 Ni 2.42-2.43
Ag (0.2500, 0.2500, 0.2500) [4 per cell]  12 Ni 2.85, 4 Ca 2.97


2.
Below is an optimized crystal structure of CaNi2Ag, with properties calculated at the GGA-PBEsol level.

M_tot   0.0 μB per formula unit
E_form   165 meV/atom

a = 6.2657 Å, b = 6.2657 Å, c = 6.2657 Å
α = 90.00°, β = 90.00°, γ = 90.00°
With the nearest neighbours (Å) after each atom.
Space group Fm-3m (No. 225)
Inequivalent atoms, fractional coordinates:
Ca (0.0000, 0.0000, 0.0000) [4 per cell]  8 Ni 2.71
Ni (0.2500, 0.2500, 0.2500) [8 per cell]  4 Ag 2.71, 4 Ca 2.71
Ag (0.0000, 0.0000, 0.5000) [4 per cell]  8 Ni 2.71


3.
Below is an optimized crystal structure of Ca3AgO, with properties calculated at the GGA-PBEsol level.

M_tot   0.0 μB per formula unit
Formation energy from raw total energies   -618 kJ/mol of formula units

a = 4.7680 Å, b = 4.7680 Å, c = 4.7680 Å
α = 90.00°, β = 90.00°, γ = 90.00°
With the nearest neighbours (Å) after each atom.
Space group Pm-3m (No. 221)
Inequivalent atoms, fractional coordinates:
Ca (0.0000, 0.0000, 0.5000) [3 per cell]  2 O 2.38
Ag (0.5000, 0.5000, 0.5000) [1 per cell]  12 Ca 3.37
O (0.0000, 0.0000, 0.0000) [1 per cell]  6 Ca 2.38


4.
Below is an optimized crystal structure of Ca10AgP7O28, with properties calculated at the GGA-PBEsol level.

M_tot   0.0 μB per formula unit
Formation energy from raw total energies   -12547 kJ/mol of formula units

a = 10.3991 Å, b = 10.3991 Å, c = 37.1473 Å
α = 90.00°, β = 90.00°, γ = 120.00°
With the nearest neighbours (Å) after each atom.
Space group R3c (No. 161, hexagonal axes)
Inequivalent atoms, fractional coordinates:
Ca (0.0000, 0.0000, 0.0000) [6 per cell]  6 O 2.23-2.26
Ca (0.0469, 0.5086, 0.1021) [18 per cell]  6 O 2.32-2.46
Ca (0.1886, 0.4002, 0.8415) [18 per cell]  7 O 2.38-2.58
Ca (0.1921, 0.3917, 0.7351) [18 per cell]  7 O 2.31-2.49
Ag (0.0000, 0.0000, 0.3206) [6 per cell]  3 O 2.39
P (0.0000, 0.0000, 0.2336) [6 per cell]  4 O 1.55
P (0.0142, 0.4869, 0.3015) [18 per cell]  4 O 1.54-1.55
P (0.1615, 0.3614, 0.5339) [18 per cell]  4 O 1.53-1.56
O (0.0000, 0.0000, 0.1917) [6 per cell]  1 P 1.55
O (0.0093, 0.2814, 0.8882) [18 per cell]  1 P 1.56
O (0.0253, 0.2370, 0.1170) [18 per cell]  1 P 1.54
O (0.0381, 0.5095, 0.3426) [18 per cell]  1 P 1.55
O (0.0682, 0.3791, 0.2897) [18 per cell]  1 P 1.55
O (0.0935, 0.1901, 0.5386) [18 per cell]  1 P 1.56
O (0.1138, 0.4360, 0.0475) [18 per cell]  1 P 1.53
O (0.1434, 0.0030, 0.7467) [18 per cell]  1 P 1.55
O (0.1574, 0.4079, 0.4940) [18 per cell]  1 P 1.56
O (0.1809, 0.0812, 0.9579) [18 per cell]  1 P 1.55